Ta2VRu2 GGA-PBE optimized geometry; E above lowest polymorph = 0 meV per atom; DOS at the Fermi energy = 4.532 states/eV/cell; crystal system = orthorhombic; total moment = 0.00 μB/atom
1.0
2.927 0.000 0.000
0.000 4.338 0.822
0.000 1.017 6.489
V Ta Ru
1 2 2
direct
0.000 0.000 0.000
0.500 0.617 0.766
0.500 0.383 0.234
0.000 0.813 0.373
0.000 0.187 0.627

TaV4Ru2 GGA-PBE optimized geometry; raw total energy = -58.69 eV per cell; DOS at the Fermi energy = 10.153 states/eV/cell; crystal system = tetragonal; total moment = 0.48 μB/atom
1.0
-1.345 1.606 -4.016
-1.246 -4.171 -1.251
-6.970 -0.278 -0.332
Ru V Ta
2 4 1
direct
0.615 0.615 0.770
0.385 0.385 0.230
0.204 0.204 0.592
0.000 0.500 0.000
0.796 0.796 0.408
0.500 0.000 0.000
0.000 0.000 0.000

TaV2Ru5 GGA-PBE optimized geometry; raw total energy = -156.48 eV per cell; DOS at the Fermi energy = 6.649 states/eV/cell; crystal system = orthorhombic; total moment = 0.00 μB/atom
1.0
-1.784 0.219 -3.804
4.026 -2.829 -2.051
-5.171 -8.753 1.921
Ru V Ta
10 4 2
direct
0.500 0.818 0.387
0.500 0.182 0.613
0.000 0.865 0.736
0.000 0.000 0.000
0.000 0.365 0.764
0.500 0.682 0.887
0.000 0.500 0.500
0.000 0.635 0.236
0.500 0.318 0.113
0.000 0.135 0.264
0.500 0.853 0.144
0.500 0.353 0.356
0.500 0.147 0.856
0.500 0.647 0.644
0.000 0.500 0.000
0.000 0.000 0.500

Ta3VRu GGA-PBE optimized geometry; E above lowest polymorph = 0 meV per atom; DOS at the Fermi energy = 6.944 states/eV/cell; crystal system = monoclinic; total moment = 0.00 μB/atom
1.0
3.165 0.000 0.000
-1.582 5.065 -0.589
0.000 1.083 10.105
Ta V Ru
6 2 2
direct
0.250 0.501 0.749
0.750 0.499 0.251
0.356 0.712 0.048
0.143 0.286 0.454
0.857 0.714 0.546
0.644 0.288 0.952
0.450 0.900 0.347
0.550 0.100 0.653
0.050 0.101 0.152
0.950 0.899 0.848

Ta4VRu5 GGA-PBE optimized geometry; raw total energy = -105.82 eV per cell; DOS at the Fermi energy = 11.215 states/eV/cell; crystal system = tetragonal; total moment = 0.00 μB/atom
1.0
3.030 0.000 0.000
0.000 3.030 0.000
0.000 0.000 16.971
Ru V Ta
5 1 4
direct
0.500 0.500 0.299
0.500 0.500 0.915
0.500 0.500 0.085
0.500 0.500 0.500
0.500 0.500 0.701
0.000 0.000 0.000
0.000 0.000 0.193
0.000 0.000 0.602
0.000 0.000 0.807
0.000 0.000 0.398

Ta2VRu2 GGA-PBE optimized geometry; E above lowest polymorph = 96 meV per atom; DOS at the Fermi energy = 12.138 states/eV/cell; crystal system = tetragonal; total moment = 0.39 μB/atom
1.0
7.383 0.000 0.000
0.000 7.383 0.000
0.000 0.000 3.051
Ta V Ru
4 2 4
direct
0.336 0.164 0.500
0.836 0.336 0.500
0.164 0.664 0.500
0.664 0.836 0.500
0.000 0.000 0.000
0.500 0.500 0.000
0.636 0.136 0.000
0.136 0.364 0.000
0.864 0.636 0.000
0.364 0.864 0.000

Ta3VRu GGA-PBE optimized geometry; E above lowest polymorph = 1473 meV per atom; DOS at the Fermi energy = 7.222 states/eV/cell; crystal system = cubic; total moment = 0.67 μB/atom
1.0
4.782 0.000 0.000
0.000 4.782 0.000
0.000 0.000 4.782
V Ta Ru
1 3 1
direct
0.500 0.500 0.500
0.000 0.500 0.000
0.500 0.000 0.000
0.000 0.000 0.500
0.000 0.000 0.000

TaV2Ru4 GGA-PBE optimized geometry; E above lowest polymorph = 0 meV per atom; DOS at the Fermi energy = 6.063 states/eV/cell; crystal system = tetragonal; total moment = 0.00 μB/atom
1.0
-4.293 2.522 1.528
-1.378 -4.018 -3.014
2.568 -1.677 4.209
Ru Ta V
4 1 2
direct
0.000 0.500 0.000
0.000 0.000 0.500
0.500 0.000 0.000
0.500 0.500 0.500
0.000 0.000 0.000
0.500 0.000 0.500
0.500 0.500 0.000

Ta6VRu GGA-PBE optimized geometry; E above lowest polymorph = 0 meV per atom; DOS at the Fermi energy = 7.708 states/eV/cell; crystal system = tetragonal; total moment = 0.00 μB/atom
1.0
-1.434 -1.588 4.033
2.190 -3.932 -0.769
5.735 -0.336 4.492
V Ta Ru
1 6 1
direct
0.500 0.500 0.000
0.746 0.746 0.508
0.120 0.620 0.761
0.254 0.254 0.492
0.380 0.880 0.239
0.880 0.380 0.239
0.620 0.120 0.761
0.000 0.000 0.000

TaV2Ru2 GGA-PBE optimized geometry; E above lowest polymorph = 43 meV per atom; DOS at the Fermi energy = 14.936 states/eV/cell; crystal system = tetragonal; total moment = 0.00 μB/atom
1.0
-5.860 -3.532 2.351
3.541 -1.863 6.028
-0.924 2.386 1.280
Ta Ru V
2 4 4
direct
0.500 0.500 0.000
0.000 0.000 0.000
0.361 0.861 0.000
0.639 0.139 0.000
0.139 0.361 0.000
0.861 0.639 0.000
0.840 0.340 0.500
0.160 0.660 0.500
0.340 0.160 0.500
0.660 0.840 0.500

TaV2Ru4 GGA-PBE optimized geometry; E above lowest polymorph = 1128 meV per atom; DOS at the Fermi energy = 7.403 states/eV/cell; crystal system = tetragonal; total moment = 0.01 μB/atom
1.0
4.659 0.000 0.000
0.000 4.659 0.000
2.329 2.329 6.056
Ru V Ta
4 2 1
direct
0.500 0.000 0.000
0.211 0.211 0.577
0.789 0.789 0.423
0.000 0.500 0.000
0.620 0.620 0.760
0.380 0.380 0.240
0.000 0.000 0.000

TaVRu2 GGA-PBE optimized geometry; raw total energy = -74.87 eV per cell; DOS at the Fermi energy = 10.671 states/eV/cell; crystal system = tetragonal; total moment = 0.00 μB/atom
1.0
3.994 0.000 0.000
0.000 3.994 0.000
1.997 1.997 8.377
Ta Ru V
2 4 2
direct
0.750 0.250 0.500
0.000 0.000 0.000
0.160 0.625 0.250
0.875 0.840 0.750
0.375 0.410 0.750
0.590 0.125 0.250
0.500 0.500 0.000
0.250 0.750 0.500

| no. | V (Å³/cell) |
| --- | --- |
| 1 | 80.0 |
| 2 | 127.3 |
| 3 | 232.0 |
| 4 | 164.0 |
| 5 | 155.8 |
| 6 | 166.3 |
| 7 | 109.3 |
| 8 | 108.7 |
| 9 | 136.3 |
| 10 | 149.7 |
| 11 | 131.4 |
| 12 | 133.6 |